[1]
! GGA-PBE BaNiGeP2, optimized geometry; values from VASP
! - space-group type = Cmme, No. 67
! - E (Ry/atom) = -0.3718
! - ΔH_f (0 K) (eV/atom) = -0.430
! - M_tot (Bohr magnetons per cell) = 0.0
&SYSTEM
  ibrav = 0, nat = 10, ntyp = 4
/
ATOMIC_SPECIES
Ba 137.33 Ba.upf
Ni 58.69 Ni.upf
Ge 72.64 Ge.upf
P 30.97 P.upf
ATOMIC_POSITIONS crystal
Ba 0.750 0.500 0.774
Ba 0.250 0.500 0.226
Ni 0.750 0.000 0.000
Ni 0.250 0.000 0.000
Ge 0.000 0.000 0.500
Ge 0.500 0.000 0.500
P 0.917 0.834 0.191
P 0.583 0.166 0.191
P 0.417 0.834 0.809
P 0.083 0.166 0.809
CELL_PARAMETERS angstrom
5.521 0.000 0.000
-2.760 5.577 0.000
0.000 0.000 7.472

[2]
! GGA-PBE Ba2NiGePb, optimized geometry; values from VASP
! - space-group type = P4/mmm, No. 123
! - E (Ry/atom) = -0.2867
! - ΔH_f (0 K) (eV/atom) = -0.311
! - M_tot (Bohr magnetons per cell) = 0.0
&SYSTEM
  ibrav = 0, nat = 5, ntyp = 4
/
ATOMIC_SPECIES
Pb 207.20 Pb.upf
Ni 58.69 Ni.upf
Ge 72.64 Ge.upf
Ba 137.33 Ba.upf
ATOMIC_POSITIONS crystal
Pb 0.500 0.500 0.500
Ni 0.000 0.000 0.000
Ge 0.000 0.000 0.500
Ba 0.000 0.500 0.000
Ba 0.500 0.000 0.000
CELL_PARAMETERS angstrom
-0.794 -5.631 2.241
6.059 -0.791 0.159
0.106 1.650 4.184

[3]
! GGA-PBE BaNiGe2Pd, optimized geometry; values from VASP
! - space-group type = I-4m2, No. 119
! - E (Ry/atom) = -0.3643
! - ΔH_f (0 K) (eV/atom) = -0.531
! - M_tot (Bohr magnetons per cell) = 0.0
&SYSTEM
  ibrav = 0, nat = 5, ntyp = 4
/
ATOMIC_SPECIES
Ba 137.33 Ba.upf
Ni 58.69 Ni.upf
Ge 72.64 Ge.upf
Pd 106.42 Pd.upf
ATOMIC_POSITIONS crystal
Ba 0.000 0.000 0.000
Ni 0.250 0.750 0.500
Ge 0.651 0.651 0.302
Ge 0.349 0.349 0.698
Pd 0.750 0.250 0.500
CELL_PARAMETERS angstrom
4.384 0.000 0.000
0.000 4.384 0.000
-2.192 -2.192 5.672

- Which of these has the highest ΔH_f (0 K)?
  Ba2NiGePb

- The highest ΔH_f (0 K) belongs to which entry?
  Ba2NiGePb

- The highest ΔH_f (0 K) belongs to which entry?
  Ba2NiGePb